Version w
Density functional theory data (PBE) for a relaxed structure of SrHg5.

Results
symmetry	Cmmm (65)
DOS at the Fermi energy	3.1	states/eV/cell
volume	27.8	Å³ per atom

a = 7.284 Å, b = 7.284 Å, c = 5.081 Å
α = 90.00°, β = 90.00°, γ = 141.75°
Atoms (fractional coordinates):
Hg: 0.971 0.029 0.000
Hg: 0.307 0.693 0.000
Hg: 0.639 0.361 0.000
Hg: 0.465 0.535 0.500
Hg: 0.813 0.187 0.500
Sr: 0.139 0.861 0.500

=====

Version x
Density functional theory data (PBE) for a relaxed structure of SrHg5.

Results
symmetry	C2/m (12)
DOS at the Fermi energy	2.0	states/eV/cell
volume	27.5	Å³ per atom

a = 5.290 Å, b = 5.334 Å, c = 6.756 Å
α = 85.74°, β = 90.00°, γ = 119.73°
Atoms (fractional coordinates):
Sr: 0.306 0.611 0.111
Hg: 0.985 0.969 0.850
Hg: 0.306 0.611 0.611
Hg: 0.627 0.253 0.372
Hg: 0.652 0.305 0.856
Hg: 0.959 0.917 0.366

=====

Which of them is the most stable, and which is the least stable? version x and version w, in that order.

=====

Version w
Density functional theory data (PBE) for a relaxed structure of Sr2Hg3.

Results
symmetry	R-3m (166)
DOS at the Fermi energy	2.5	states/eV/cell
volume	33.2	Å³ per atom

a = 8.121 Å, b = 8.121 Å, c = 8.121 Å
α = 36.08°, β = 36.08°, γ = 36.08°
Atoms (fractional coordinates):
Hg: 0.000 0.000 0.000
Hg: 0.166 0.166 0.166
Hg: 0.834 0.834 0.834
Sr: 0.587 0.587 0.587
Sr: 0.413 0.413 0.413

=====

Version x
Density functional theory data (PBE) for a relaxed structure of Sr2Hg3.

Results
symmetry	Cmcm (63)
DOS at the Fermi energy	6.3	states/eV/cell
volume	32.0	Å³ per atom

a = 4.222 Å, b = 4.977 Å, c = 15.390 Å
α = 90.00°, β = 97.88°, γ = 90.00°
Atoms (fractional coordinates):
Sr: 0.294 0.750 0.589
Sr: 0.706 0.250 0.411
Sr: 0.572 0.750 0.143
Sr: 0.428 0.250 0.857
Hg: 0.178 0.750 0.357
Hg: 0.822 0.250 0.643
Hg: 0.880 0.750 0.760
Hg: 0.120 0.250 0.240
Hg: 0.025 0.250 0.050
Hg: 0.975 0.750 0.950

=====

Which of them is the most stable, and which is the least stable? version x and version w, in that order.

=====

Version w
Density functional theory data (PBE) for a relaxed structure of SrTa3Hg.

Results
symmetry	Pm-3m (221)
DOS at the Fermi energy	10.2	states/eV/cell
volume	28.0	Å³ per atom

a = 5.191 Å, b = 5.191 Å, c = 5.191 Å
α = 90.00°, β = 90.00°, γ = 90.00°
Site moments in Bohr magnetons follow the coordinates.
Atoms (fractional coordinates):
Sr: 0.500 0.500 0.500  0.01
Hg: 0.000 0.000 0.000  0.03
Ta: 0.000 0.500 0.000  0.26
Ta: 0.000 0.000 0.500  0.26
Ta: 0.500 0.000 0.000  0.17

=====

Version x
Density functional theory data (PBE) for a relaxed structure of SrTa3Hg.

Results
symmetry	Pm-3m (221)
DOS at the Fermi energy	6.0	states/eV/cell
volume	23.6	Å³ per atom

a = 4.902 Å, b = 4.902 Å, c = 4.902 Å
α = 90.00°, β = 90.00°, γ = 90.00°
Atoms (fractional coordinates):
Sr: 0.000 0.000 0.000
Hg: 0.500 0.500 0.500
Ta: 0.000 0.500 0.000
Ta: 0.000 0.000 0.500
Ta: 0.500 0.000 0.000

=====

Which of them is the most stable, and which is the least stable? version w and version x, in that order.